[1]
This record from Alexandria describes a geometry-optimized ZnCo2Cu structure. The functional is GGA-PBE.

Cell lengths 2.5410, 2.5410, 25.4964 Å; angles 90.00, 90.00, 120.00 degrees
With the nearest neighbours (Å) after each atom.
Space group R-3m (No. 166, hexagonal axes)
Inequivalent atoms, fractional coordinates:
1 Zn 0.0000 0.0000 0.0000 (multiplicity 3)  6 Zn 2.54, 6 Co 2.61
2 Co 0.0000 0.0000 0.2488 (multiplicity 6)  6 Co 2.54, 3 Cu 2.56, 3 Zn 2.61
3 Cu 0.0000 0.0000 0.5000 (multiplicity 3)  6 Cu 2.54, 6 Co 2.56

Calculated formation energy = 94 meV/atom
Energy = -57.6 eV for the cell shown

---

[2]
This record from Alexandria describes a geometry-optimized Zn2CoCu structure. The functional is GGA-PBE.

Cell lengths 2.6884, 2.6884, 6.9281 Å; angles 90.00, 90.00, 90.00 degrees
With the nearest neighbours (Å) after each atom.
Space group P4/mmm (No. 123)
Inequivalent atoms, fractional coordinates:
1 Zn 0.0000 0.0000 0.2395 (multiplicity 2)  4 Co 2.52, 4 Cu 2.62, 4 Zn 2.69
2 Co 0.5000 0.5000 0.0000 (multiplicity 1)  8 Zn 2.52, 4 Co 2.69
3 Cu 0.5000 0.5000 0.5000 (multiplicity 1)  8 Zn 2.62, 4 Cu 2.69

Calculated formation energy = -38 meV/atom
Energy = -13.9 eV for the cell shown

---

[3]
This record from Alexandria describes a geometry-optimized Zn2CoCu structure. The functional is GGA-PBE.

Cell lengths 8.8397, 2.6323, 4.4573 Å; angles 90.00, 102.46, 90.00 degrees
With the nearest neighbours (Å) after each atom.
Space group Cm (No. 8)
Inequivalent atoms, fractional coordinates:
1 Zn 0.0000 0.0000 0.0000 (multiplicity 2)  4 Co 2.58-2.60, 3 Cu 2.59, 5 Zn 2.63-2.75
2 Zn 0.2422 0.0000 0.7020 (multiplicity 2)  4 Cu 2.54-2.64, 3 Co 2.55-2.60, 5 Zn 2.63-2.75
3 Co 0.4951 0.0000 0.4947 (multiplicity 2)  7 Zn 2.55-2.60, 3 Cu 2.60-2.80, 2 Co 2.63
4 Cu 0.2516 0.5000 0.2190 (multiplicity 2)  7 Zn 2.54-2.64, 3 Co 2.60-2.80, 2 Cu 2.63

Calculated formation energy = 3 meV/atom
Energy = -27.5 eV for the cell shown

---

[4]
This record from Alexandria describes a geometry-optimized ZnCo2Cu structure. The functional is GGA-PBE.

Cell lengths 2.5830, 3.5021, 5.2312 Å; angles 90.00, 90.40, 90.00 degrees
With the nearest neighbours (Å) after each atom.
Space group Pm (No. 6)
Inequivalent atoms, fractional coordinates:
1 Zn 0.0000 0.0000 0.0000 (multiplicity 1)  6 Co 2.52-2.71, 4 Cu 2.54-2.55, 2 Zn 2.58
2 Co 0.0001 0.0000 0.4822 (multiplicity 1)  6 Co 2.43-2.58, 2 Zn 2.52-2.71, 4 Cu 2.58-2.59
3 Co 0.4997 0.5000 0.2730 (multiplicity 1)  6 Co 2.43-2.58, 1 Cu 2.48, 4 Zn 2.60-2.61
4 Cu 0.5009 0.5000 0.7479 (multiplicity 1)  6 Co 2.48-2.75, 4 Zn 2.54-2.55, 2 Cu 2.58

Calculated formation energy = 38 meV/atom
Energy = -19.4 eV for the cell shown

---

[5]
This record from Alexandria describes a geometry-optimized ZnCo2Cu structure. The functional is GGA-PBE.

Cell lengths 3.6919, 3.6919, 6.9285 Å; angles 90.00, 90.00, 90.00 degrees
With the nearest neighbours (Å) after each atom.
Space group I-4m2 (No. 119)
Inequivalent atoms, fractional coordinates:
1 Zn 0.0000 0.0000 0.0000 (multiplicity 2)  8 Co 2.53-2.61, 4 Cu 2.53
2 Co 0.0000 0.0000 0.5000 (multiplicity 2)  4 Co 2.53, 4 Cu 2.53, 4 Zn 2.61
3 Co 0.0000 0.5000 0.7500 (multiplicity 2)  4 Co 2.53, 4 Zn 2.53, 4 Cu 2.61
4 Cu 0.0000 0.5000 0.2500 (multiplicity 2)  8 Co 2.53-2.61, 4 Zn 2.53

Calculated formation energy = 66 meV/atom
Energy = -38.6 eV for the cell shown

---

[6]
This record from Alexandria describes a geometry-optimized ZnCoCu2 structure. The functional is GGA-PBE.

Cell lengths 8.4990, 2.5485, 4.5313 Å; angles 90.00, 99.12, 90.00 degrees
With the nearest neighbours (Å) after each atom.
Space group Cm (No. 8)
Inequivalent atoms, fractional coordinates:
1 Zn 0.0000 0.0000 0.0000 (multiplicity 2)  3 Co 2.55-2.57, 2 Zn 2.55, 7 Cu 2.57-2.62
2 Co 0.2507 0.0000 0.7571 (multiplicity 2)  3 Zn 2.55-2.57, 2 Co 2.55, 7 Cu 2.57-2.62
3 Cu 0.0024 0.5000 0.5070 (multiplicity 2)  5 Cu 2.54-2.58, 3 Co 2.57, 4 Zn 2.57-2.62
4 Cu 0.2519 0.5000 0.2623 (multiplicity 2)  5 Cu 2.54-2.58, 3 Zn 2.58-2.61, 4 Co 2.58-2.62

Calculated formation energy = 54 meV/atom
Energy = -32.7 eV for the cell shown